The following is a DFT calculation (PBE-GGA) of In2NiAs after structural relaxation.

```
In2NiAs
1.0
3.109 0.000 0.000
0.000 3.109 0.000
0.000 0.000 8.405
In Ni As
2 1 1
Direct
0.000 0.000 0.000 In
0.500 0.500 0.311 In
0.000 0.000 0.542 Ni
0.500 0.500 0.678 As
```

Results
SG	P4mm, No. 99
energy of formation from the pure elements	-0.0220	eV/atom



The following is a DFT calculation (PBE-GGA) of Ca5TlPd2 after structural relaxation.

```
Ca5TlPd2
1.0
-3.971 3.971 7.229
3.971 -3.971 7.229
3.971 3.971 -7.229
Ca Tl Pd
10 2 4
Direct
0.000 0.000 0.000 Ca
0.031 0.531 0.834 Ca
0.196 0.031 0.500 Ca
0.304 0.804 0.834 Ca
0.469 0.304 0.500 Ca
0.500 0.500 0.000 Ca
0.531 0.696 0.500 Ca
0.696 0.196 0.166 Ca
0.804 0.969 0.500 Ca
0.969 0.469 0.166 Ca
0.250 0.250 0.000 Tl
0.750 0.750 0.000 Tl
0.127 0.373 0.500 Pd
0.373 0.873 0.246 Pd
0.627 0.127 0.754 Pd
0.873 0.627 0.500 Pd
```

Results
SG	I4/mcm, No. 140
energy of formation from the pure elements	-0.5564	eV/atom